# 1
First-principles (PBE) data for crystalline PmRePt at its relaxed geometry, as listed in OQMD.

The calculation puts the distance to the lowest polymorph of the same formula at 0.000 eV/atom. The value obtained for the total energy is -0.2679 hartree per atom. Its formation energy is 0.450 eV/atom.

It has space group F-43m (No. 216), with a = 6.540 Å, b = 6.540 Å, c = 6.540 Å, α = 90.00°, β = 90.00° and γ = 90.00°. The asymmetric unit holds Pm at (0.000, 0.000, 0.000), Re at (0.000, 0.000, 0.500) and Pt at (0.250, 0.250, 0.250).

***

# 2
First-principles (PBE) data for crystalline Pm3Si2Pt4 at its relaxed geometry, as listed in OQMD.

The value obtained for the total energy is -0.2431 hartree per atom.

It has space group C2/m (No. 12), with a = 10.567 Å, b = 4.363 Å, c = 8.636 Å, α = 90.00°, β = 111.15° and γ = 90.00°. The asymmetric unit holds Pm at (0.000, 0.000, 0.000), Pm at (0.132, 0.500, 0.692), Si at (0.165, 0.500, 0.332), Pt at (0.106, 0.000, 0.417) and Pt at (0.217, 0.500, 0.080).

***

# 3
First-principles (PBE) data for crystalline PmSi2Pt2 at its relaxed geometry, as listed in OQMD.

The value obtained for the total energy is -0.2418 hartree per atom.

It has space group I4/mmm (No. 139), with a = 4.231 Å, b = 4.231 Å, c = 9.955 Å, α = 90.00°, β = 90.00° and γ = 90.00°. The asymmetric unit holds Pm at (0.000, 0.000, 0.000), Si at (0.000, 0.000, 0.380) and Pt at (0.000, 0.500, 0.250).

***

# 4
First-principles (PBE) data for crystalline PmSi2Pt5 at its relaxed geometry, as listed in OQMD.

The value obtained for the total energy is -0.2442 hartree per atom.

It has space group Immm (No. 71), with a = 3.960 Å, b = 7.070 Å, c = 9.751 Å, α = 90.00°, β = 90.00° and γ = 90.00°. The asymmetric unit holds Pm at (0.000, 0.000, 0.000), Si at (0.000, 0.500, 0.247), Pt at (0.000, 0.200, 0.351) and Pt at (0.000, 0.500, 0.000).

***

# 5
First-principles (PBE) data for crystalline Pm2Si3Pt at its relaxed geometry, as listed in OQMD.

The value obtained for the total energy is -0.2320 hartree per atom.

It has space group Fmmm (No. 69), with a = 8.212 Å, b = 8.501 Å, c = 14.223 Å, α = 90.00°, β = 90.00° and γ = 90.00°. The asymmetric unit holds Pm at (0.000, 0.245, 0.000), Pm at (0.250, 0.250, 0.250), Si at (0.000, 0.000, 0.166), Si at (0.250, 0.000, 0.083) and Pt at (0.000, 0.000, 0.333).

***

# 6
First-principles (PBE) data for crystalline Pm2Si2Pt5 at its relaxed geometry, as listed in OQMD.

The value obtained for the total energy is -0.2451 hartree per atom.

It has space group P4/mmm (No. 123), with a = 4.255 Å, b = 4.255 Å, c = 9.020 Å, α = 90.00°, β = 90.00° and γ = 90.00°. The asymmetric unit holds Pm at (0.000, 0.000, 0.000), Pm at (0.000, 0.000, 0.500), Si at (0.500, 0.500, 0.134), Pt at (0.000, 0.500, 0.264) and Pt at (0.500, 0.500, 0.500).

***

# 7
First-principles (PBE) data for crystalline Pm2SmPt9 at its relaxed geometry, as listed in OQMD.

The value obtained for the total energy is -0.2438 hartree per atom. Its formation energy is -0.910 eV/atom.

It has space group R-3m (No. 166, hexagonal axes), with a = 5.4374 Å, b = 5.4374 Å, c = 26.6920 Å, α = 90.00°, β = 90.00° and γ = 120.00°. The asymmetric unit holds Pm at (0.0000, 0.0000, 0.1391), Sm at (0.0000, 0.0000, 0.0000), Pt at (0.0000, 0.0000, 0.3330), Pt at (0.0000, 0.0000, 0.5000) and Pt at (0.0038, 0.5019, 0.9154).

***

# 8
First-principles (PBE) data for crystalline PmSm2Pt9 at its relaxed geometry, as listed in OQMD.

The value obtained for the total energy is -0.2440 hartree per atom. Its formation energy is -0.918 eV/atom.

It has space group R-3m (No. 166, hexagonal axes), with a = 5.4360 Å, b = 5.4360 Å, c = 26.6421 Å, α = 90.00°, β = 90.00° and γ = 120.00°. The asymmetric unit holds Pm at (0.0000, 0.0000, 0.0000), Sm at (0.0000, 0.0000, 0.1393), Pt at (0.0000, 0.0000, 0.3330), Pt at (0.0000, 0.0000, 0.5000) and Pt at (0.0041, 0.5020, 0.9152).

***

# 9
First-principles (PBE) data for crystalline Pm2SmPt at its relaxed geometry, as listed in OQMD.

The value obtained for the total energy is -0.2098 hartree per atom. Its formation energy is -0.644 eV/atom.

It has space group Pnma (No. 62), with a = 7.189 Å, b = 9.950 Å, c = 6.598 Å, α = 90.00°, β = 90.00° and γ = 90.00°. The asymmetric unit holds Pm at (0.179, 0.062, 0.174), Sm at (0.027, 0.250, 0.640) and Pt at (0.116, 0.750, 0.940).

***

# 10
First-principles (PBE) data for crystalline SrPmPt at its relaxed geometry, as listed in OQMD.

The calculation puts the distance to the lowest polymorph of the same formula at 0.000 eV/atom. The value obtained for the total energy is -0.1758 hartree per atom.

It has space group F-43m (No. 216), with a = 7.169 Å, b = 7.169 Å, c = 7.169 Å, α = 90.00°, β = 90.00° and γ = 90.00°. The asymmetric unit holds Sr at (0.000, 0.000, 0.000), Pm at (0.000, 0.000, 0.500) and Pt at (0.250, 0.250, 0.750).

***

no.,ρ (g/cm3)
1,12.5
2,11.4
3,11.0
4,14.3
5,7.6
6,13.4
7,16.0
8,16.1
9,8.9
10,7.7